Here is an optimized crystal structure of Li2TaAg from the Alexandria database. Energies are from PBE.

Summary:
- Energy relative to the elements: 294.0 meV per atom
- SG: P2/m
- Calculated total energy: -4.3388 eV/atom
- V: 67.7 Å³/cell
- Spin magnetization: 0.0 μB per formula unit

abc: 2.6745 4.7939 5.2821
angles: 90.00 92.52 90.00
With the nearest neighbours (Å) after each atom.
Sites, in units of the cell vectors:
Li  0.1041  0.0000  0.2473  4 Li 2.65-2.75, 2 Ag 2.76, 2 Ta 2.95
Li  0.8959  0.0000  0.7527  4 Li 2.65-2.75, 2 Ag 2.76, 2 Ta 2.95
Ta  0.5000  0.5000  0.0000  2 Ta 2.67, 2 Ag 2.91, 4 Li 2.95
Ag  0.0000  0.5000  0.5000  2 Ag 2.67, 4 Li 2.76, 2 Ta 2.91